1.
Below is a relaxed SrCa2Cd2Pb2 crystal, with properties calculated at the GGA-PBE level.

Calculated values
ΔE_f = -385 meV/atom
VASP energy = -2.5185 eV/atom

abc: 5.176 5.176 9.800
angles: 74.69 74.69 60.00
Sites, in units of the cell vectors:
Sr 0.000 0.000 0.000
Ca 0.137 0.137 0.589
Ca 0.863 0.863 0.411
Cd 0.557 0.557 0.328
Cd 0.443 0.443 0.672
Pb 0.739 0.739 0.783
Pb 0.261 0.261 0.217

---

2.
Below is a relaxed CaTlCdPb crystal, with properties calculated at the GGA-PBE level.

Calculated values
Energy above the most stable polymorph in this dataset = 31.7 meV per atom
ΔE_f = -230 meV/atom
VASP energy = -2.4778 eV/atom

abc: 5.433 5.433 5.433
angles: 60.00 60.00 60.00
Sites, in units of the cell vectors:
Pb 0.500 0.500 0.500
Tl 0.000 0.000 0.000
Ca 0.250 0.250 0.250
Cd 0.750 0.750 0.750

---

3.
Below is a relaxed Ca4TlCd2Pb crystal, with properties calculated at the GGA-PBE level.

Calculated values
ΔE_f = -457 meV/atom
VASP energy = -2.4455 eV/atom

abc: 5.465 5.465 9.472
angles: 73.23 73.23 60.00
Sites, in units of the cell vectors:
Ca 0.375 0.375 0.874
Ca 0.875 0.875 0.376
Ca 0.125 0.125 0.624
Ca 0.625 0.625 0.126
Tl 0.500 0.500 0.500
Cd 0.752 0.752 0.743
Cd 0.248 0.248 0.257
Pb 0.000 0.000 0.000

---

4.
Below is a relaxed CaTlCdPb crystal, with properties calculated at the GGA-PBE level.

Calculated values
Energy above the most stable polymorph in this dataset = 0.0 meV per atom
ΔE_f = -262 meV/atom
VASP energy = -2.5095 eV/atom

abc: 4.831 4.664 4.936
angles: 90.00 90.00 90.00
Sites, in units of the cell vectors:
Ca 0.500 0.000 0.500
Tl 0.500 0.500 0.000
Cd 0.000 0.000 0.000
Pb 0.000 0.500 0.500

---

5.
Below is a relaxed Ca2CdPd3 crystal, with properties calculated at the GGA-PBE level.

Calculated values
Energy above the most stable polymorph in this dataset = 258.4 meV per atom
ΔE_f = -399 meV/atom
VASP energy = -3.8148 eV/atom

abc: 4.888 5.592 6.088
angles: 117.34 113.67 90.00
Sites, in units of the cell vectors:
Ca 0.678 0.178 0.356
Ca 0.322 0.822 0.644
Cd 0.000 0.500 0.000
Pd 0.357 0.357 0.714
Pd 0.000 0.000 0.000
Pd 0.643 0.643 0.286

---

6.
Below is a relaxed CaCd7Pd4 crystal, with properties calculated at the GGA-PBE level.

Calculated values
ΔE_f = -181 meV/atom
VASP energy = -2.6125 eV/atom

abc: 5.163 8.384 6.732
angles: 80.34 67.45 72.07
Sites, in units of the cell vectors:
Ca 0.000 0.000 0.000
Cd 0.784 0.871 0.560
Cd 0.216 0.129 0.440
Cd 0.064 0.631 0.242
Cd 0.936 0.369 0.758
Cd 0.330 0.599 0.741
Cd 0.500 0.000 0.000
Cd 0.670 0.401 0.259
Pd 0.574 0.214 0.638
Pd 0.426 0.786 0.362
Pd 0.693 0.666 0.948
Pd 0.307 0.334 0.052

---

7.
Below is a relaxed Ca2CdPd crystal, with properties calculated at the GGA-PBE level.

Calculated values
ΔE_f = -233 meV/atom
VASP energy = -2.7612 eV/atom

abc: 8.127 8.127 6.670
angles: 52.47 52.47 90.00
Sites, in units of the cell vectors:
Ca 0.586 0.125 0.250
Ca 0.164 0.625 0.250
Ca 0.375 0.414 0.750
Ca 0.875 0.836 0.750
Pd 0.500 0.500 0.000
Pd 0.250 0.750 0.500
Cd 0.000 0.000 0.000
Cd 0.750 0.250 0.500

---

8.
Below is a relaxed CaCd2Pd9 crystal, with properties calculated at the GGA-PBE level.

Calculated values
ΔE_f = -313 meV/atom
VASP energy = -4.5271 eV/atom

abc: 4.059 4.059 12.227
angles: 90.00 90.00 90.00
Sites, in units of the cell vectors:
Ca 0.000 0.000 0.000
Cd 0.000 0.000 0.337
Cd 0.000 0.000 0.663
Pd 0.500 0.500 0.000
Pd 0.500 0.500 0.335
Pd 0.500 0.500 0.665
Pd 0.500 0.000 0.174
Pd 0.500 0.000 0.500
Pd 0.500 0.000 0.826
Pd 0.000 0.500 0.174
Pd 0.000 0.500 0.500
Pd 0.000 0.500 0.826

---

9.
Below is a relaxed CaCdPd2 crystal, with properties calculated at the GGA-PBE level.

Calculated values
ΔE_f = -518 meV/atom
VASP energy = -3.8440 eV/atom

abc: 3.418 3.418 6.714
angles: 90.00 90.00 90.00
Sites, in units of the cell vectors:
Ca 0.500 0.500 0.500
Pd 0.000 0.000 0.775
Pd 0.000 0.000 0.225
Cd 0.500 0.500 0.000

---

10.
Below is a relaxed Ca4Cd2Pd crystal, with properties calculated at the GGA-PBE level.

Calculated values
ΔE_f = -259 meV/atom
VASP energy = -2.4062 eV/atom

abc: 5.426 5.426 9.004
angles: 107.54 107.54 90.00
Sites, in units of the cell vectors:
Ca 0.821 0.821 0.642
Ca 0.179 0.179 0.358
Ca 0.000 0.500 0.000
Ca 0.500 0.000 0.000
Pd 0.000 0.000 0.000
Cd 0.623 0.623 0.247
Cd 0.377 0.377 0.753

---

11.
Below is a relaxed Ca3Cd2Pd crystal, with properties calculated at the GGA-PBE level.

Calculated values
ΔE_f = -441 meV/atom
VASP energy = -2.6122 eV/atom

abc: 5.247 8.356 7.515
angles: 90.00 90.01 71.70
Sites, in units of the cell vectors:
Ca 0.828 0.345 0.769
Ca 0.500 0.000 0.240
Ca 0.172 0.655 0.231
Ca 0.827 0.345 0.231
Ca 0.173 0.655 0.769
Ca 0.500 0.000 0.760
Cd 0.000 0.000 0.000
Cd 0.000 0.000 0.500
Cd 0.335 0.330 0.500
Cd 0.665 0.670 0.500
Pd 0.341 0.319 0.000
Pd 0.659 0.681 0.000

---

12.
Below is a relaxed CaCd2Pd4 crystal, with properties calculated at the GGA-PBE level.

Calculated values
ΔE_f = -297 meV/atom
VASP energy = -3.8119 eV/atom

abc: 5.665 5.665 5.665
angles: 116.38 106.13 106.13
Sites, in units of the cell vectors:
Ca 0.000 0.000 0.000
Pd 0.500 0.000 0.000
Pd 0.500 0.500 0.500
Pd 0.000 0.000 0.500
Pd 0.000 0.500 0.000
Cd 0.500 0.500 0.000
Cd 0.500 0.000 0.500

---

13.
Below is a relaxed Ca3CdPd3 crystal, with properties calculated at the GGA-PBE level.

Calculated values
Energy above the most stable polymorph in this dataset = 200.1 meV per atom
ΔE_f = -463 meV/atom
VASP energy = -3.6768 eV/atom

abc: 4.950 8.723 8.723
angles: 120.00 90.00 90.00
Sites, in units of the cell vectors:
Ca 0.750 0.674 0.589
Ca 0.750 0.411 0.084
Ca 0.750 0.916 0.326
Ca 0.250 0.326 0.411
Ca 0.250 0.589 0.916
Ca 0.250 0.084 0.674
Cd 0.250 0.667 0.333
Cd 0.750 0.333 0.667
Pd 0.250 0.838 0.793
Pd 0.250 0.207 0.045
Pd 0.250 0.955 0.162
Pd 0.750 0.162 0.207
Pd 0.750 0.793 0.955
Pd 0.750 0.045 0.838

---

14.
Below is a relaxed CaCd3Pd crystal, with properties calculated at the GGA-PBE level.

Calculated values
Energy above the most stable polymorph in this dataset = 1265.2 meV per atom
ΔE_f = 897 meV/atom
VASP energy = -1.0905 eV/atom

abc: 5.790 5.790 5.790
angles: 90.00 90.00 90.00
Sites, in units of the cell vectors:
Ca 0.000 0.000 0.000
Pd 0.500 0.500 0.500
Cd 0.000 0.500 0.000
Cd 0.000 0.000 0.500
Cd 0.500 0.000 0.000

---

15.
Below is a relaxed Ca4CdPd crystal, with properties calculated at the GGA-PBE level.

Calculated values
Energy above the most stable polymorph in this dataset = 16.0 meV per atom
ΔE_f = -386 meV/atom
VASP energy = -2.7387 eV/atom

abc: 6.144 9.031 8.366
angles: 115.61 102.08 107.01
Sites, in units of the cell vectors:
Ca 0.060 0.216 0.852
Ca 0.779 0.713 0.653
Ca 0.292 0.636 0.852
Ca 0.373 0.939 0.653
Ca 0.627 0.061 0.347
Ca 0.708 0.364 0.148
Ca 0.221 0.287 0.347
Ca 0.940 0.784 0.148
Cd 0.377 0.627 0.254
Cd 0.623 0.373 0.746
Pd 0.249 0.999 0.999
Pd 0.751 0.001 0.001

---

16.
Below is a relaxed Ca4CdPd crystal, with properties calculated at the GGA-PBE level.

Calculated values
Energy above the most stable polymorph in this dataset = 0.0 meV per atom
ΔE_f = -402 meV/atom
VASP energy = -2.7547 eV/atom

abc: 10.113 10.113 10.113
angles: 60.00 60.00 60.00
Sites, in units of the cell vectors:
Ca 0.402 0.402 0.402
Ca 0.794 0.402 0.402
Ca 0.402 0.794 0.402
Ca 0.402 0.402 0.794
Ca 0.554 0.554 0.946
Ca 0.946 0.946 0.554
Ca 0.554 0.946 0.554
Ca 0.946 0.554 0.946
Ca 0.946 0.554 0.554
Ca 0.554 0.946 0.946
Ca 0.191 0.191 0.809
Ca 0.809 0.809 0.191
Ca 0.191 0.809 0.191
Ca 0.809 0.191 0.809
Ca 0.809 0.191 0.191
Ca 0.191 0.809 0.809
Cd 0.170 0.170 0.170
Cd 0.490 0.170 0.170
Cd 0.170 0.490 0.170
Cd 0.170 0.170 0.490
Pd 0.610 0.610 0.610
Pd 0.169 0.610 0.610
Pd 0.610 0.169 0.610
Pd 0.610 0.610 0.169

---

17.
Below is a relaxed Ca2Cd2Pd3 crystal, with properties calculated at the GGA-PBE level.

Calculated values
ΔE_f = -526 meV/atom
VASP energy = -3.5852 eV/atom

abc: 4.880 4.899 7.871
angles: 89.96 107.72 120.30
Sites, in units of the cell vectors:
Ca 0.775 0.388 0.162
Ca 0.225 0.612 0.838
Cd 0.256 0.129 0.385
Cd 0.744 0.871 0.615
Pd 0.000 0.000 0.000
Pd 0.502 0.251 0.756
Pd 0.498 0.749 0.244

---

18.
Below is a relaxed CaCd2Pd crystal, with properties calculated at the GGA-PBE level.

Calculated values
ΔE_f = -226 meV/atom
VASP energy = -2.4826 eV/atom

abc: 4.226 4.226 11.102
angles: 79.03 79.03 90.00
Sites, in units of the cell vectors:
Ca 0.500 0.500 0.000
Ca 0.250 0.750 0.500
Pd 0.000 0.000 0.000
Pd 0.750 0.250 0.500
Cd 0.650 0.125 0.250
Cd 0.100 0.625 0.250
Cd 0.375 0.350 0.750
Cd 0.875 0.900 0.750

---

19.
Below is a relaxed CaCd2Pd crystal, with properties calculated at the GGA-PBE level.

Calculated values
ΔE_f = -505 meV/atom
VASP energy = -2.7610 eV/atom

abc: 5.598 8.021 8.194
angles: 90.00 90.00 90.00
Sites, in units of the cell vectors:
Ca 0.399 0.533 0.250
Ca 0.101 0.033 0.250
Ca 0.601 0.467 0.750
Ca 0.899 0.967 0.750
Cd 0.904 0.673 0.056
Cd 0.596 0.173 0.444
Cd 0.096 0.327 0.556
Cd 0.404 0.827 0.944
Cd 0.096 0.327 0.944
Cd 0.404 0.827 0.556
Cd 0.904 0.673 0.444
Cd 0.596 0.173 0.056
Pd 0.614 0.879 0.250
Pd 0.886 0.379 0.250
Pd 0.386 0.121 0.750
Pd 0.114 0.621 0.750

---

20.
Below is a relaxed Ca2CdPd4 crystal, with properties calculated at the GGA-PBE level.

Calculated values
ΔE_f = -12 meV/atom
VASP energy = -3.6818 eV/atom

abc: 4.961 4.961 8.032
angles: 107.99 107.99 90.00
Sites, in units of the cell vectors:
Ca 0.631 0.631 0.261
Ca 0.369 0.369 0.739
Cd 0.000 0.000 0.000
Pd 0.819 0.819 0.638
Pd 0.181 0.181 0.362
Pd 0.000 0.500 0.000
Pd 0.500 0.000 0.000

---

21.
Below is a relaxed Ca3CdPd3 crystal, with properties calculated at the GGA-PBE level.

Calculated values
Energy above the most stable polymorph in this dataset = 0.0 meV per atom
ΔE_f = -663 meV/atom
VASP energy = -3.8769 eV/atom

abc: 4.415 5.728 14.110
angles: 90.00 90.00 112.67
Sites, in units of the cell vectors:
Ca 0.200 0.400 0.895
Ca 0.800 0.600 0.105
Ca 0.200 0.400 0.605
Ca 0.800 0.600 0.395
Ca 0.477 0.954 0.750
Ca 0.523 0.046 0.250
Cd 0.500 0.000 0.000
Cd 0.500 0.000 0.500
Pd 0.909 0.819 0.907
Pd 0.091 0.181 0.093
Pd 0.909 0.819 0.593
Pd 0.091 0.181 0.407
Pd 0.762 0.523 0.750
Pd 0.238 0.477 0.250

---

22.
Below is a relaxed CaCd4Pd7 crystal, with properties calculated at the GGA-PBE level.

Calculated values
ΔE_f = -260 meV/atom
VASP energy = -3.7609 eV/atom

abc: 5.008 9.064 5.824
angles: 83.28 64.53 73.96
Sites, in units of the cell vectors:
Ca 0.000 0.000 0.000
Cd 0.588 0.230 0.595
Cd 0.412 0.770 0.405
Cd 0.734 0.680 0.852
Cd 0.266 0.320 0.148
Pd 0.786 0.917 0.511
Pd 0.214 0.083 0.489
Pd 0.038 0.627 0.298
Pd 0.962 0.373 0.702
Pd 0.347 0.538 0.768
Pd 0.500 0.000 0.000
Pd 0.653 0.462 0.232